# Cu2HW

A relaxed structure of Cu2HW (PBE, the Alexandria database).

Cell and atoms, written as POSCAR:
```
Cu2HW
1.0
5.0115 0.0000 0.0000
0.0000 5.0115 0.0000
0.0000 0.0000 6.9674
Cu H W
8 4 4
Cartesian
0.2364 1.2529 0.8709
1.2529 2.7421 2.6128
1.2529 4.7751 6.0965
2.2694 1.2529 4.3546
2.7421 3.7586 4.3546
3.7586 0.2364 6.0965
3.7586 2.2694 2.6128
4.7751 3.7586 0.8709
0.0000 0.0000 0.0000
0.0000 2.5057 1.7419
2.5057 0.0000 5.2256
2.5057 2.5057 3.4837
0.0000 0.0000 3.4837
0.0000 2.5057 5.2256
2.5057 0.0000 1.7419
2.5057 2.5057 0.0000
```

Computed properties:
DOS(E_F) (states/eV per atom): 0.509
Crystal system: tetragonal
Distance to the lowest polymorph of the same formula (meV/atom): 0.0